Entry 1:
## Si2HgGe2 (GGA-PBE)

Data for a geometry-optimized Si2HgGe2 structure.

Properties
For the uncorrected energy, the calculation gives -3.699 eV per atom. As for the crystal system: tetragonal. The value obtained for the relative energy among the computed polymorphs is 120.9 meV per atom. The calculation puts the density at 6.35 g cm⁻³. The value obtained for the uncorrected formation energy is 36.5 kJ per mole of atoms.

a b c (Å): 4.2437 4.2437 6.5660
angles (deg): 71.15 71.15 90.00
Sites, in units of the cell vectors:
Si1 0.7500 0.2500 0.5000
Si2 0.2500 0.7500 0.5000
Ge1 0.6234 0.6234 0.7531
Ge2 0.3766 0.3766 0.2469
Hg1 0.0000 0.0000 0.0000



Entry 2:
## TlSiHgGe2 (GGA-PBE)

Data for a geometry-optimized TlSiHgGe2 structure.

Properties
For the uncorrected energy, the calculation gives -2.582 eV per atom. As for the crystal system: tetragonal. The calculation puts the density at 6.62 g cm⁻³. The value obtained for the uncorrected formation energy is 85.2 kJ per mole of atoms.

a b c (Å): 5.3343 5.0954 5.3343
angles (deg): 90.00 90.00 90.00
Sites, in units of the cell vectors:
Ge1 0.0000 0.0000 0.5000
Ge2 0.5000 0.0000 0.0000
Hg1 0.0000 0.0000 0.0000
Si1 0.0000 0.5000 0.0000
Tl1 0.5000 0.5000 0.5000



Entry 3:
## Sm2HgGe (GGA-PBE)

Data for a geometry-optimized Sm2HgGe structure.

Properties
For the uncorrected energy, the calculation gives -4.151 eV per atom. As for the crystal system: trigonal. The calculation puts the density at 8.10 g cm⁻³. Its formation energy is -561.6 meV/atom.

a b c (Å): 4.3418 4.3418 7.6340
angles (deg): 73.48 73.48 60.00
Sites, in units of the cell vectors:
Sm1 0.2626 0.2626 0.2123
Sm2 0.7374 0.7374 0.7877
Ge1 0.0000 0.0000 0.0000
Hg1 0.5000 0.5000 0.5000



Entry 4:
## Sm4HgGe (GGA-PBE)

Data for a geometry-optimized Sm4HgGe structure.

Properties
For the uncorrected energy, the calculation gives -4.393 eV per atom. As for the crystal system: monoclinic. The value obtained for the relative energy among the computed polymorphs is 0.0 meV per atom. The calculation puts the density at 8.31 g cm⁻³. Its formation energy is -426.6 meV/atom.

a b c (Å): 6.1391 6.7159 9.1014
angles (deg): 90.00 111.40 90.00
Sites, in units of the cell vectors:
Sm1 0.4164 0.7500 0.1354
Sm2 0.9783 0.0023 0.2414
Sm3 0.0217 0.5023 0.7586
Sm4 0.9783 0.4977 0.2414
Sm5 0.6066 0.2500 0.4295
Sm6 0.5836 0.2500 0.8646
Sm7 0.3934 0.7500 0.5705
Sm8 0.0217 0.9977 0.7586
Hg1 0.7159 0.7500 0.9229
Hg2 0.2841 0.2500 0.0771
Ge1 0.1989 0.2500 0.5439
Ge2 0.8011 0.7500 0.4561



Entry 5:
## Sm3HgGe (GGA-PBE)

Data for a geometry-optimized Sm3HgGe structure.

Properties
For the uncorrected energy, the calculation gives -4.245 eV per atom. As for the crystal system: monoclinic. The calculation puts the density at 8.13 g cm⁻³. Its formation energy is -430.0 meV/atom.

a b c (Å): 5.7564 6.9517 8.9738
angles (deg): 112.85 90.03 114.42
Sites, in units of the cell vectors:
Sm1 0.3842 0.7686 0.1054
Sm2 0.1227 0.2457 0.2487
Sm3 0.8773 0.7543 0.7513
Sm4 0.6158 0.2314 0.8946
Sm5 0.1625 0.3249 0.6374
Sm6 0.8375 0.6751 0.3626
Ge1 0.1296 0.2590 0.9361
Ge2 0.8704 0.7410 0.0639
Hg1 0.6113 0.2231 0.4517
Hg2 0.3887 0.7769 0.5483



Entry 6:
## SmHgGe (GGA-PBE)

Data for a geometry-optimized SmHgGe structure.

Properties
For the uncorrected energy, the calculation gives -3.575 eV per atom. As for the crystal system: cubic. The calculation puts the density at 9.00 g cm⁻³. Its formation energy is -362.2 meV/atom.

a b c (Å): 4.7993 4.7993 4.7993
angles (deg): 60.00 60.00 60.00
Sites, in units of the cell vectors:
Hg1 0.5000 0.5000 0.5000
Ge1 0.2500 0.2500 0.2500
Sm1 0.0000 0.0000 0.0000



Entry 7:
## SmHgGe2 (GGA-PBE)

Data for a geometry-optimized SmHgGe2 structure.

Properties
For the uncorrected energy, the calculation gives -3.966 eV per atom. As for the crystal system: tetragonal. The value obtained for the relative energy among the computed polymorphs is 0.0 meV per atom. The calculation puts the density at 9.37 g cm⁻³. Its formation energy is -402.1 meV/atom.

a b c (Å): 4.2199 4.5644 4.5644
angles (deg): 90.00 90.00 90.00
Sites, in units of the cell vectors:
Hg1 0.5000 0.0000 0.0000
Sm1 0.5000 0.5000 0.5000
Ge1 0.0000 0.0000 0.5000
Ge2 0.0000 0.5000 0.0000



Entry 8:
## Sm4HgGe (GGA-PBE)

Data for a geometry-optimized Sm4HgGe structure.

Properties
For the uncorrected energy, the calculation gives -4.191 eV per atom. As for the crystal system: orthorhombic. The value obtained for the relative energy among the computed polymorphs is 201.7 meV per atom. The calculation puts the density at 7.75 g cm⁻³. Its formation energy is -224.9 meV/atom.

a b c (Å): 5.3816 6.3862 11.2304
angles (deg): 90.00 103.86 90.00
Sites, in units of the cell vectors:
Sm1 0.1278 0.8215 0.2557
Sm2 0.8722 0.3215 0.7443
Sm3 0.2904 0.5797 0.5809
Sm4 0.2900 0.0642 0.5800
Sm5 0.7100 0.5642 0.4200
Sm6 0.4351 0.8230 0.8701
Sm7 0.5649 0.3230 0.1299
Sm8 0.7096 0.0797 0.4191
Ge1 0.8395 0.8220 0.6790
Ge2 0.1605 0.3220 0.3210
Hg1 0.4270 0.3230 0.8539
Hg2 0.5730 0.8230 0.1461



Entry 9:
## Sm6HgGe2 (GGA-PBE)

Data for a geometry-optimized Sm6HgGe2 structure.

Properties
For the uncorrected energy, the calculation gives -4.729 eV per atom. As for the crystal system: orthorhombic. The calculation puts the density at 8.07 g cm⁻³. Its formation energy is -522.8 meV/atom.

a b c (Å): 8.7446 8.7446 8.7446
angles (deg): 106.76 110.47 111.22
Sites, in units of the cell vectors:
Sm1 0.7041 0.3765 0.6725
Sm2 0.5508 0.7281 0.8227
Sm3 0.7041 0.0316 0.3275
Sm4 0.8020 0.2516 0.0536
Sm5 0.2959 0.6235 0.3275
Sm6 0.1980 0.7484 0.9464
Sm7 0.0946 0.2719 0.8227
Sm8 0.4492 0.2719 0.1773
Sm9 0.8020 0.7484 0.5504
Sm10 0.1980 0.2516 0.4496
Sm11 0.9054 0.7281 0.1773
Sm12 0.2959 0.9684 0.6725
Ge1 0.5000 0.3787 0.8787
Ge2 0.3488 0.0000 0.3488
Ge3 0.6512 0.0000 0.6512
Ge4 0.5000 0.6213 0.1213
Hg1 0.0000 0.0000 0.0000
Hg2 0.0000 0.5000 0.5000



Entry 10:
## Sm4Hg3Ge (GGA-PBE)

Data for a geometry-optimized Sm4Hg3Ge structure.

Properties
For the uncorrected energy, the calculation gives -3.586 eV per atom. As for the crystal system: trigonal. The calculation puts the density at 10.00 g cm⁻³. Its formation energy is -536.3 meV/atom.

a b c (Å): 5.3188 5.3188 9.1803
angles (deg): 73.16 73.16 60.00
Each line ends with the local moment (μB).
Sites, in units of the cell vectors:
Hg1 0.5000 0.5000 0.5000  0.01
Hg2 0.2416 0.2416 0.2752  0.01
Hg3 0.7584 0.7584 0.7248  0.01
Ge1 0.0000 0.0000 0.0000  -0.01
Sm1 0.6300 0.6300 0.1101  0.13
Sm2 0.1186 0.1186 0.6443  0.09
Sm3 0.8814 0.8814 0.3557  0.09
Sm4 0.3700 0.3700 0.8899  0.13



Entry 11:
## SmHgGe (GGA-PBE)

Data for a geometry-optimized SmHgGe structure.

Properties
For the uncorrected energy, the calculation gives -3.718 eV per atom. As for the crystal system: trigonal. The calculation puts the density at 9.61 g cm⁻³. Its formation energy is -505.4 meV/atom.

a b c (Å): 4.2056 4.4824 4.4824
angles (deg): 120.00 90.00 90.00
Sites, in units of the cell vectors:
Ge1 0.0698 0.0000 0.0000
Hg1 0.2515 0.3333 0.6667
Sm1 0.6787 0.6667 0.3333



Entry 12:
## Sm2HgGe2 (GGA-PBE)

Data for a geometry-optimized Sm2HgGe2 structure.

Properties
For the uncorrected energy, the calculation gives -4.504 eV per atom. As for the crystal system: tetragonal. The calculation puts the density at 8.98 g cm⁻³. Its formation energy is -708.7 meV/atom.

a b c (Å): 4.2573 7.4955 7.4955
angles (deg): 90.00 90.00 90.00
Sites, in units of the cell vectors:
Sm1 0.5000 0.6798 0.8202
Sm2 0.5000 0.8202 0.3202
Sm3 0.5000 0.1798 0.6798
Sm4 0.5000 0.3202 0.1798
Ge1 0.0000 0.3804 0.8804
Ge2 0.0000 0.6196 0.1196
Ge3 0.0000 0.1196 0.3804
Ge4 0.0000 0.8804 0.6196
Hg1 0.0000 0.0000 0.0000
Hg2 0.0000 0.5000 0.5000



Entry 13:
## SmHgGe (GGA-PBE)

Data for a geometry-optimized SmHgGe structure.

Properties
For the uncorrected energy, the calculation gives -3.777 eV per atom. As for the crystal system: orthorhombic. The calculation puts the density at 9.61 g cm⁻³. Its formation energy is -564.6 meV/atom.

a b c (Å): 4.0298 4.2442 8.8152
angles (deg): 76.07 90.00 90.00
Sites, in units of the cell vectors:
Sm1 0.7500 0.0963 0.8073
Sm2 0.2500 0.9037 0.1927
Hg1 0.7500 0.2845 0.4311
Hg2 0.2500 0.7155 0.5689
Ge1 0.7500 0.4523 0.0955
Ge2 0.2500 0.5477 0.9045



Entry 14:
## Sm7HgGe5 (GGA-PBE)

Data for a geometry-optimized Sm7HgGe5 structure.

Properties
For the uncorrected energy, the calculation gives -4.863 eV per atom. As for the crystal system: orthorhombic. The calculation puts the density at 7.82 g cm⁻³. Its formation energy is -522.7 meV/atom.

a b c (Å): 6.1623 8.0872 8.0872
angles (deg): 86.15 67.60 67.60
Sites, in units of the cell vectors:
Sm1 0.9829 0.3406 0.6936
Sm2 0.2878 0.2122 0.2122
Sm3 0.9829 0.6936 0.3406
Sm4 0.5374 0.1309 0.7942
Sm5 0.5374 0.7942 0.1309
Sm6 0.2737 0.7263 0.7263
Sm7 0.6548 0.3452 0.3452
Hg1 0.9657 0.0343 0.0343
Ge1 0.4700 0.0083 0.4861
Ge2 0.0355 0.4861 0.0083
Ge3 0.4700 0.4861 0.0083
Ge4 0.0355 0.0083 0.4861
Ge5 0.7663 0.7337 0.7337



Entry 15:
## SmHgGe (GGA-PBE)

Data for a geometry-optimized SmHgGe structure.

Properties
For the uncorrected energy, the calculation gives -3.799 eV per atom. As for the crystal system: monoclinic. The calculation puts the density at 9.59 g cm⁻³. Its formation energy is -586.1 meV/atom.

a b c (Å): 4.0556 4.4116 8.7352
angles (deg): 104.63 103.60 90.00
Sites, in units of the cell vectors:
Sm1 0.3522 0.0961 0.1922
Sm2 0.6478 0.9039 0.8078
Ge1 0.8067 0.5514 0.1029
Ge2 0.1933 0.4486 0.8971
Hg1 0.8214 0.2788 0.5576
Hg2 0.1786 0.7212 0.4424



Entry 16:
## Sm12Hg5Ge3 (GGA-PBE)

Data for a geometry-optimized Sm12Hg5Ge3 structure.

Properties
For the uncorrected energy, the calculation gives -3.667 eV per atom. As for the crystal system: cubic. The calculation puts the density at 7.36 g cm⁻³. Its formation energy is -67.7 meV/atom.

a b c (Å): 15.2501 15.2501 15.2501
angles (deg): 109.47 109.47 109.47
Sites, in units of the cell vectors:
Ge1 0.3750 0.7500 0.6250
Ge2 0.2500 0.6250 0.8750
Ge3 0.6250 0.2500 0.3750
Ge4 0.7500 0.8750 0.6250
Ge5 0.3750 0.6250 0.2500
Ge6 0.2500 0.1250 0.3750
Ge7 0.6250 0.3750 0.7500
Ge8 0.8750 0.7500 0.1250
Ge9 0.1250 0.2500 0.8750
Ge10 0.8750 0.1250 0.2500
Ge11 0.1250 0.8750 0.7500
Ge12 0.7500 0.3750 0.1250
Sm1 0.8351 0.9048 0.2710
Sm2 0.4358 0.6649 0.0697
Sm3 0.7290 0.1339 0.0642
Sm4 0.7710 0.4358 0.3661
Sm5 0.0952 0.9303 0.3661
Sm6 0.9303 0.8351 0.5642
Sm7 0.5952 0.8661 0.4303
Sm8 0.0952 0.1649 0.2290
Sm9 0.3661 0.9358 0.7710
Sm10 0.8351 0.9303 0.0642
Sm11 0.3351 0.7710 0.4048
Sm12 0.9358 0.5697 0.1649
Sm13 0.3351 0.5642 0.4303
Sm14 0.8661 0.5952 0.9303
Sm15 0.2710 0.8661 0.9358
Sm16 0.5642 0.3351 0.9303
Sm17 0.0642 0.4303 0.8351
Sm18 0.9303 0.0952 0.8661
Sm19 0.8661 0.2710 0.4358
Sm20 0.4048 0.1339 0.5697
Sm21 0.4358 0.7710 0.8661
Sm22 0.1339 0.7290 0.5642
Sm23 0.9048 0.0697 0.6339
Sm24 0.9048 0.8351 0.7710
Sm25 0.0697 0.9048 0.1339
Sm26 0.1649 0.0697 0.9358
Sm27 0.2290 0.5642 0.6339
Sm28 0.6339 0.5697 0.9048
Sm29 0.4303 0.3661 0.5952
Sm30 0.9358 0.3661 0.2710
Sm31 0.2710 0.4048 0.8351
Sm32 0.6339 0.0642 0.2290
Sm33 0.3661 0.4303 0.0952
Sm34 0.0642 0.6339 0.7290
Sm35 0.6649 0.4358 0.5697
Sm36 0.6649 0.2290 0.5952
Sm37 0.5642 0.2290 0.1339
Sm38 0.7710 0.3351 0.9048
Sm39 0.5952 0.7290 0.6649
Sm40 0.5697 0.6339 0.4048
Sm41 0.4303 0.0642 0.3351
Sm42 0.0697 0.1649 0.4358
Sm43 0.5697 0.9358 0.6649
Sm44 0.4048 0.2710 0.3351
Sm45 0.1649 0.0952 0.7290
Sm46 0.1339 0.4048 0.0697
Sm47 0.7290 0.5952 0.1649
Sm48 0.2290 0.6649 0.0952
Hg1 0.0000 0.5000 0.0000
Hg2 0.6250 0.8750 0.2500
Hg3 0.2500 0.3750 0.6250
Hg4 0.3750 0.2500 0.1250
Hg5 0.0000 0.0000 0.0000
Hg6 0.5000 0.5000 0.0000
Hg7 0.6250 0.7500 0.8750
Hg8 0.0000 0.0000 0.5000
Hg9 0.2500 0.8750 0.1250
Hg10 0.5000 0.0000 0.5000
Hg11 0.8750 0.2500 0.6250
Hg12 0.1250 0.3750 0.2500
Hg13 0.7500 0.6250 0.3750
Hg14 0.0000 0.5000 0.5000
Hg15 0.5000 0.5000 0.5000
Hg16 0.5000 0.0000 0.0000
Hg17 0.8750 0.6250 0.7500
Hg18 0.3750 0.1250 0.7500
Hg19 0.1250 0.7500 0.3750
Hg20 0.7500 0.1250 0.8750



Entry 17:
## Sm8HgGe5 (GGA-PBE)

Data for a geometry-optimized Sm8HgGe5 structure.

Properties
For the uncorrected energy, the calculation gives -5.105 eV per atom. As for the crystal system: tetragonal. The calculation puts the density at 7.79 g cm⁻³. Its formation energy is -738.0 meV/atom.

a b c (Å): 7.8792 7.8792 7.8792
angles (deg): 109.51 109.39 109.51
Sites, in units of the cell vectors:
Sm1 0.4947 0.6176 0.2532
Sm2 0.1253 0.7596 0.0175
Sm3 0.6356 0.3824 0.8771
Sm4 0.7468 0.2416 0.3644
Sm5 0.9825 0.1078 0.7421
Sm6 0.2579 0.2404 0.3657
Sm7 0.1229 0.7584 0.5053
Sm8 0.6343 0.8922 0.8747
Ge1 0.0063 0.3792 0.1298
Ge2 0.8702 0.8765 0.2494
Ge3 0.5000 0.0000 0.5000
Ge4 0.3730 0.1235 0.9937
Ge5 0.7506 0.6208 0.6270
Hg1 0.2500 0.5000 0.7500



Entry 18:
## Sm2HgGe (GGA-PBE)

Data for a geometry-optimized Sm2HgGe structure.

Properties
For the uncorrected energy, the calculation gives -4.168 eV per atom. As for the crystal system: tetragonal. The calculation puts the density at 9.29 g cm⁻³. Its formation energy is -578.8 meV/atom.

a b c (Å): 3.8230 5.1798 5.1798
angles (deg): 90.00 90.00 90.00
Sites, in units of the cell vectors:
Sm1 0.0000 0.0000 0.5000
Sm2 0.0000 0.5000 0.0000
Ge1 0.5000 0.0000 0.0000
Hg1 0.5000 0.5000 0.5000



Entry 19:
## Sm4HgGe2 (GGA-PBE)

Data for a geometry-optimized Sm4HgGe2 structure.

Properties
For the uncorrected energy, the calculation gives -4.694 eV per atom. As for the crystal system: orthorhombic. The calculation puts the density at 8.24 g cm⁻³. Its formation energy is -635.2 meV/atom.

a b c (Å): 7.8256 7.8259 8.0047
angles (deg): 109.66 109.66 108.16
Sites, in units of the cell vectors:
Sm1 0.3859 0.4889 0.2442
Sm2 0.8627 0.6118 0.6055
Sm3 0.3918 0.9950 0.2562
Sm4 0.2449 0.1419 0.7561
Sm5 0.7388 0.1356 0.7439
Sm6 0.0064 0.2568 0.3942
Sm7 0.8619 0.6125 0.1054
Sm8 0.5068 0.7566 0.8944
Ge1 0.6243 0.2420 0.1169
Ge2 0.7574 0.8750 0.3831
Ge3 0.4921 0.3745 0.6171
Ge4 0.1252 0.5074 0.8833
Hg1 0.0011 0.0009 0.9998
Hg2 0.2508 0.7511 0.4999



Entry 20:
## Sm2HgGe (GGA-PBE)

Data for a geometry-optimized Sm2HgGe structure.

Properties
For the uncorrected energy, the calculation gives -4.210 eV per atom. As for the crystal system: monoclinic. The calculation puts the density at 8.87 g cm⁻³. Its formation energy is -621.0 meV/atom.

a b c (Å): 4.3240 6.1173 8.7774
angles (deg): 112.26 90.00 90.00
Sites, in units of the cell vectors:
Hg1 0.7500 0.6738 0.2934
Hg2 0.2500 0.3262 0.7066
Ge1 0.2500 0.3242 0.2083
Ge2 0.7500 0.6758 0.7917
Sm1 0.7500 0.2205 0.9399
Sm2 0.2500 0.7742 0.5775
Sm3 0.7500 0.2258 0.4225
Sm4 0.2500 0.7795 0.0601